Entry from the Alexandria database: an optimized crystal structure of Tl2VCl (PBE). Values from VASP.

```
&SYSTEM
  ibrav = 0, nat = 4, ntyp = 3
/
ATOMIC_SPECIES
Tl 204.38 Tl.upf
V 50.94 V.upf
Cl 35.45 Cl.upf
CELL_PARAMETERS angstrom
0.0000 3.7472 3.7472
3.7472 0.0000 3.7472
3.7472 3.7472 0.0000
ATOMIC_POSITIONS crystal
Tl 0.2500 0.2500 0.2500
Tl 0.7500 0.7500 0.7500
V 0.5000 0.5000 0.5000
Cl 0.0000 0.0000 0.0000
```

The calculation puts the uncorrected formation energy at 0.42 eV per atom. As for the symmetry: Fm-3m, No. 225.

***

Entry from the Alexandria database: an optimized crystal structure of TlVCl6 (PBE). Values from VASP.

```
&SYSTEM
  ibrav = 0, nat = 8, ntyp = 3
/
ATOMIC_SPECIES
Tl 204.38 Tl.upf
V 50.94 V.upf
Cl 35.45 Cl.upf
CELL_PARAMETERS angstrom
5.9188 0.8775 -2.0336
-1.3456 5.6495 -1.5435
-0.8802 -1.4779 7.8618
ATOMIC_POSITIONS crystal
Tl 0.0000 0.5000 0.5000
V 0.0000 0.0000 0.0000
Cl 0.0121 0.9352 0.2665
Cl 0.2872 0.3555 0.2342
Cl 0.7128 0.6445 0.7658
Cl 0.9879 0.0648 0.7335
Cl 0.2906 0.7789 0.9964
Cl 0.7094 0.2211 0.0036
```

The calculation puts the uncorrected formation energy at -0.98 eV per atom. As for the symmetry: P-1, No. 2.

***

Entry from the Alexandria database: an optimized crystal structure of Tl3VCl (PBE). Values from VASP.

```
&SYSTEM
  ibrav = 0, nat = 5, ntyp = 3
/
ATOMIC_SPECIES
Tl 204.38 Tl.upf
V 50.94 V.upf
Cl 35.45 Cl.upf
CELL_PARAMETERS angstrom
-5.3024 1.4446 0.0287
-0.7576 -2.8726 4.6236
1.2304 4.4570 2.9706
ATOMIC_POSITIONS crystal
Tl 0.0000 0.5000 0.0000
Tl 0.0000 0.0000 0.5000
Tl 0.5000 0.0000 0.0000
V 0.0000 0.0000 0.0000
Cl 0.5000 0.5000 0.5000
```

The calculation puts the uncorrected formation energy at 0.17 eV per atom. As for the symmetry: Pm-3m, No. 221.

***

Entry from the Alexandria database: an optimized crystal structure of TlVCl3 (PBE). Values from VASP.

```
&SYSTEM
  ibrav = 0, nat = 5, ntyp = 3
/
ATOMIC_SPECIES
Tl 204.38 Tl.upf
Cl 35.45 Cl.upf
V 50.94 V.upf
CELL_PARAMETERS angstrom
4.9879 0.0000 0.0000
0.0000 4.9879 0.0000
0.0000 0.0000 4.9879
ATOMIC_POSITIONS crystal
Tl 0.5000 0.5000 0.5000
Cl 0.0000 0.5000 0.0000
Cl 0.0000 0.0000 0.5000
Cl 0.5000 0.0000 0.0000
V 0.0000 0.0000 0.0000
```

The calculation puts the uncorrected formation energy at -1.03 eV per atom. As for the symmetry: Pm-3m, No. 221.

***

Entry from the Alexandria database: an optimized crystal structure of TlVCl6 (PBE). Values from VASP.

```
&SYSTEM
  ibrav = 0, nat = 8, ntyp = 3
/
ATOMIC_SPECIES
Tl 204.38 Tl.upf
V 50.94 V.upf
Cl 35.45 Cl.upf
CELL_PARAMETERS angstrom
6.7036 0.0000 0.0000
3.3518 5.8055 0.0000
3.3518 1.9352 6.1008
ATOMIC_POSITIONS crystal
Tl 0.5000 0.5000 0.5000
V 0.0000 0.0000 0.0000
Cl 0.9120 0.9120 0.7844
Cl 0.3916 0.9120 0.7844
Cl 0.0880 0.6084 0.2156
Cl 0.6084 0.0880 0.2156
Cl 0.0880 0.0880 0.2156
Cl 0.9120 0.3916 0.7844
```

The calculation puts the uncorrected formation energy at -0.95 eV per atom. As for the symmetry: R-3m, No. 166.

***

Entry from the Alexandria database: an optimized crystal structure of Tl2VCl7 (PBE). Values from VASP.

```
&SYSTEM
  ibrav = 0, nat = 20, ntyp = 3
/
ATOMIC_SPECIES
Tl 204.38 Tl.upf
V 50.94 V.upf
Cl 35.45 Cl.upf
CELL_PARAMETERS angstrom
-3.2624 2.4851 6.4656
-9.2792 3.7541 -1.5915
-4.1491 -6.3253 4.8711
ATOMIC_POSITIONS crystal
Tl 0.5784 0.9680 0.7099
Tl 0.7438 0.4680 0.2099
Tl 0.2562 0.5320 0.7901
Tl 0.4216 0.0320 0.2901
V 0.9722 0.2500 0.7500
V 0.0278 0.7500 0.2500
Cl 0.8182 0.4894 0.8281
Cl 0.8643 0.9894 0.3281
Cl 0.2376 0.7986 0.9798
Cl 0.3179 0.2643 0.5718
Cl 0.6543 0.2500 0.7500
Cl 0.9840 0.2986 0.4798
Cl 0.1540 0.2357 0.9282
Cl 0.8460 0.7643 0.0718
Cl 0.0160 0.7014 0.5202
Cl 0.3457 0.7500 0.2500
Cl 0.6821 0.7357 0.4282
Cl 0.7624 0.2014 0.0202
Cl 0.1357 0.0106 0.6719
Cl 0.1818 0.5106 0.1719
```

The calculation puts the uncorrected formation energy at -0.87 eV per atom. As for the symmetry: C2/c, No. 15.

***

Entry from the Alexandria database: an optimized crystal structure of Tl2V2Cl (PBE). Values from VASP.

```
&SYSTEM
  ibrav = 0, nat = 5, ntyp = 3
/
ATOMIC_SPECIES
Tl 204.38 Tl.upf
V 50.94 V.upf
Cl 35.45 Cl.upf
CELL_PARAMETERS angstrom
3.4424 0.0000 0.0000
0.0000 3.4424 0.0000
1.7212 1.7212 9.3229
ATOMIC_POSITIONS crystal
Tl 0.3867 0.3867 0.2266
Tl 0.6133 0.6133 0.7734
V 0.7500 0.2500 0.5000
V 0.2500 0.7500 0.5000
Cl 0.0000 0.0000 0.0000
```

The calculation puts the uncorrected formation energy at 0.41 eV per atom. As for the symmetry: I4/mmm, No. 139.

***

Entry from the Alexandria database: an optimized crystal structure of TlVCl4 (PBE). Values from VASP.

```
&SYSTEM
  ibrav = 0, nat = 6, ntyp = 3
/
ATOMIC_SPECIES
Tl 204.38 Tl.upf
V 50.94 V.upf
Cl 35.45 Cl.upf
CELL_PARAMETERS angstrom
-4.5280 -2.5339 -6.1595
-2.2158 -6.4508 4.2826
0.9373 6.0826 2.0741
ATOMIC_POSITIONS crystal
Tl 0.7500 0.2500 0.5000
V 0.5000 0.5000 0.0000
Cl 0.5161 0.8377 0.4006
Cl 0.8844 0.5629 0.4006
Cl 0.1623 0.1156 0.5994
Cl 0.4371 0.4839 0.5994
```

The calculation puts the uncorrected formation energy at -1.11 eV per atom. As for the symmetry: I-4, No. 82.